i | Computed, not measured: a relaxed CeCd4 crystal at the PBE level of DFT.

The space group is I-43m (No. 217) and the conventional cell measures 10.0597, 10.0597 and 10.0597 Å, with angles of 90.00, 90.00 and 90.00 degrees. Symmetry generates all atoms from Ce at (0.2139, 0.2139, 0.7861), Cd at (0.0000, 0.0000, 0.3490), Cd at (0.0000, 0.2500, 0.5000) and Cd at (0.1070, 0.1070, 0.1070).


ii | Computed, not measured: a relaxed CeCd4 crystal at the PBE level of DFT.

The space group is C2/m (No. 12) and the conventional cell measures 14.9012, 3.3753 and 5.1158 Å, with angles of 90.00, 109.90 and 90.00 degrees. Symmetry generates all atoms from Ce at (0.0000, 0.0000, 0.0000), Cd at (0.1045, 0.5000, 0.6037) and Cd at (0.2125, 0.5000, 0.2117).


iii | Computed, not measured: a relaxed CeCd4 crystal at the PBE level of DFT.

The space group is Pm-3m (No. 221) and the conventional cell measures 6.1842, 6.1842 and 6.1842 Å, with angles of 90.00, 90.00 and 90.00 degrees. Symmetry generates all atoms from Ce at (0.0000, 0.0000, 0.0000), Cd at (0.0000, 0.0000, 0.5000) and Cd at (0.5000, 0.5000, 0.5000).


Bottom line: ii, by a margin of 7.8 kJ/mol of atoms.


i | Computed, not measured: a relaxed Ce4Cd crystal at the PBE level of DFT.

The space group is Immm (No. 71) and the conventional cell measures 3.0668, 5.1550 and 15.7940 Å, with angles of 90.00, 90.00 and 90.00 degrees. Symmetry generates all atoms from Ce at (0.0000, 0.0000, 0.1054), Ce at (0.0000, 0.5000, 0.1921) and Cd at (0.0000, 0.0000, 0.5000).


ii | Computed, not measured: a relaxed Ce4Cd crystal at the PBE level of DFT.

The space group is Pm-3m (No. 221) and the conventional cell measures 5.8223, 5.8223 and 5.8223 Å, with angles of 90.00, 90.00 and 90.00 degrees. Symmetry generates all atoms from Ce at (0.0000, 0.0000, 0.0000), Ce at (0.0000, 0.5000, 0.5000) and Cd at (0.5000, 0.5000, 0.5000).


Bottom line: i, by a margin of 73.1 kJ/mol of atoms.


i | Computed, not measured: a relaxed Ce3Cd crystal at the PBE level of DFT.

The space group is I4/mmm (No. 139) and the conventional cell measures 4.7319, 4.7319 and 9.6298 Å, with angles of 90.00, 90.00 and 90.00 degrees. Symmetry generates all atoms from Ce at (0.0000, 0.0000, 0.0000), Ce at (0.0000, 0.5000, 0.2500) and Cd at (0.0000, 0.0000, 0.5000).


ii | Computed, not measured: a relaxed Ce3Cd crystal at the PBE level of DFT.

The space group is Pm-3m (No. 221) and the conventional cell measures 4.7948, 4.7948 and 4.7948 Å, with angles of 90.00, 90.00 and 90.00 degrees. Symmetry generates all atoms from Ce at (0.0000, 0.0000, 0.5000) and Cd at (0.5000, 0.5000, 0.5000).


Bottom line: i, by a margin of 1.5 kJ/mol of atoms.


i | Computed, not measured: a relaxed Ce3Cd crystal at the PBE level of DFT.

The space group is Fm-3m (No. 225) and the conventional cell measures 7.5630, 7.5630 and 7.5630 Å, with angles of 90.00, 90.00 and 90.00 degrees. Symmetry generates all atoms from Ce at (0.0000, 0.0000, 0.0000), Ce at (0.2500, 0.2500, 0.2500) and Cd at (0.0000, 0.0000, 0.5000).


ii | Computed, not measured: a relaxed Ce3Cd crystal at the PBE level of DFT.

The space group is P6_3/mmc (No. 194) and the conventional cell measures 6.8526, 6.8526 and 5.4089 Å, with angles of 90.00, 90.00 and 120.00 degrees. Symmetry generates all atoms from Ce at (0.1751, 0.3502, 0.2500) and Cd at (0.3333, 0.6667, 0.7500).


Bottom line: ii, by a margin of 2.8 kJ/mol of atoms.


i | Computed, not measured: a relaxed CeCd11 crystal at the PBE level of DFT.

The space group is Pm-3m (No. 221) and the conventional cell measures 9.4199, 9.4199 and 9.4199 Å, with angles of 90.00, 90.00 and 90.00 degrees. Symmetry generates all atoms from Ce at (0.0000, 0.0000, 0.5000), Cd at (0.0000, 0.3449, 0.3449), Cd at (0.1566, 0.1566, 0.1566), Cd at (0.2656, 0.2656, 0.5000) and Cd at (0.5000, 0.5000, 0.5000).


ii | Computed, not measured: a relaxed CeCd11 crystal at the PBE level of DFT.

The space group is I4_1/amd (No. 141, origin choice 2) and the conventional cell measures 11.9325, 11.9325 and 7.8053 Å, with angles of 90.00, 90.00 and 90.00 degrees. Symmetry generates all atoms from Ce at (0.0000, 0.2500, 0.3750), Cd at (0.0000, 0.0000, 0.0000), Cd at (0.0000, 0.2500, 0.8750) and Cd at (0.1202, 0.0472, 0.6705).


Bottom line: i, by a margin of 4.1 kJ/mol of atoms.


i | Computed, not measured: a relaxed Ce2Cd3 crystal at the PBE level of DFT.

The space group is I4/mmm (No. 139) and the conventional cell measures 3.2008, 3.2008 and 23.9646 Å, with angles of 90.00, 90.00 and 90.00 degrees. Symmetry generates all atoms from Ce at (0.0000, 0.0000, 0.1030), Cd at (0.0000, 0.0000, 0.2940) and Cd at (0.0000, 0.0000, 0.5000).


ii | Computed, not measured: a relaxed Ce2Cd3 crystal at the PBE level of DFT.

The space group is Cmcm (No. 63) and the conventional cell measures 3.2470, 30.7334 and 5.0929 Å, with angles of 90.00, 90.00 and 90.00 degrees. Symmetry generates all atoms from Ce at (0.0000, 0.0729, 0.2500), Ce at (0.0000, 0.2184, 0.7500), Cd at (0.0000, 0.3282, 0.7500), Cd at (0.0000, 0.3785, 0.2500) and Cd at (0.0000, 0.4757, 0.2500).


Bottom line: ii, by a margin of 4.6 kJ/mol of atoms.


i | Computed, not measured: a relaxed CeCd2Cl8 crystal at the PBE level of DFT.

The space group is I422 (No. 97) and the conventional cell measures 6.9099, 6.9099 and 12.9654 Å, with angles of 90.00, 90.00 and 90.00 degrees. Symmetry generates all atoms from Ce at (0.0000, 0.0000, 0.0000), Cd at (0.0000, 0.5000, 0.2500) and Cl at (0.1756, 0.2922, 0.8836).


ii | Computed, not measured: a relaxed CeCd2Cl8 crystal at the PBE level of DFT.

The space group is C2/m (No. 12) and the conventional cell measures 17.4355, 6.9579 and 6.5587 Å, with angles of 90.00, 96.55 and 90.00 degrees. Symmetry generates all atoms from Ce at (0.0000, 0.0000, 0.0000), Cd at (0.1606, 0.0000, 0.4594), Cl at (0.0631, 0.2513, 0.2701), Cl at (0.1323, 0.0000, 0.8308) and Cl at (0.2102, 0.5000, 0.6217).


Bottom line: ii, by a margin of 2.3 kJ/mol of atoms.


i | Computed, not measured: a relaxed Ce2CdCu crystal at the PBE level of DFT.

The space group is P4/mmm (No. 123) and the conventional cell measures 3.7833, 3.7833 and 6.8528 Å, with angles of 90.00, 90.00 and 90.00 degrees. Symmetry generates all atoms from Ce at (0.0000, 0.0000, 0.2049), Cd at (0.5000, 0.5000, 0.5000) and Cu at (0.5000, 0.5000, 0.0000).


ii | Computed, not measured: a relaxed Ce2CdCu crystal at the PBE level of DFT.

The space group is R-3m (No. 166, hexagonal axes) and the conventional cell measures 3.0514, 3.0514 and 34.6220 Å, with angles of 90.00, 90.00 and 120.00 degrees. Symmetry generates all atoms from Ce at (0.0000, 0.0000, 0.0967), Cd at (0.0000, 0.0000, 0.0000) and Cu at (0.0000, 0.0000, 0.5000).


Bottom line: i, by a margin of 28.3 kJ/mol of atoms.